# 1
A plane-wave DFT calculation with GGA-PBE was carried out for a relaxed TaAlCoOs2 crystal.

Final energy = -8.07 eV per atom
Total magnetization = 0.00 μB/f.u.
Formation energy from the elements = 964 meV/atom
Theoretical density = 13.58 g/cm³
DOS at the Fermi energy = 5.0 states/eV/f.u.

abc: 4.411 4.411 4.066
angles: 90.00 90.00 90.00
Space group P4/mmm (No. 123)
Unique sites:
1 Ta 0.000 0.000 0.000 x1
2 Al 0.500 0.500 0.500 x1
3 Co 0.500 0.500 0.000 x1
4 Os 0.000 0.500 0.500 x2

***

# 2
A plane-wave DFT calculation with GGA-PBE was carried out for a relaxed UAlCoOs crystal.

Final energy = -8.50 eV per atom
Total magnetization = 1.09 μB/f.u.
Formation energy from the elements = -163 meV/atom
Theoretical density = 13.07 g/cm³
DOS at the Fermi energy = 6.0 states/eV/f.u.

abc: 6.393 6.393 6.393
angles: 90.00 90.00 90.00
Space group F-43m (No. 216)
Unique sites:
1 U 0.000 0.000 0.000 x4
2 Al 0.000 0.000 0.500 x4
3 Co 0.250 0.250 0.250 x4
4 Os 0.250 0.250 0.750 x4

***

# 3
A plane-wave DFT calculation with GGA-PBE was carried out for a relaxed AlZnCoOs crystal.

Final energy = -5.93 eV per atom
Total magnetization = 0.58 μB/f.u.
Formation energy from the elements = -95 meV/atom
Theoretical density = 10.91 g/cm³
DOS at the Fermi energy = 3.6 states/eV/f.u.

abc: 5.925 5.925 5.925
angles: 90.00 90.00 90.00
Space group F-43m (No. 216)
Unique sites:
1 Al 0.000 0.000 0.000 x4
2 Zn 0.000 0.000 0.500 x4
3 Co 0.250 0.250 0.750 x4
4 Os 0.250 0.250 0.250 x4

***

# 4
A plane-wave DFT calculation with GGA-PBE was carried out for a relaxed ZrAlCoOs crystal.

Final energy = -8.13 eV per atom
Total magnetization = 0.00 μB/f.u.
Formation energy from the elements = -478 meV/atom
Theoretical density = 10.13 g/cm³
DOS at the Fermi energy = 0.8 states/eV/f.u.

abc: 6.223 6.223 6.223
angles: 90.00 90.00 90.00
Space group F-43m (No. 216)
Unique sites:
1 Zr 0.000 0.000 0.000 x4
2 Al 0.000 0.000 0.500 x4
3 Co 0.250 0.250 0.250 x4
4 Os 0.250 0.250 0.750 x4

***

# 5
A plane-wave DFT calculation with GGA-PBE was carried out for a relaxed AlCoP2 crystal.

Final energy = -5.09 eV per atom
Total magnetization = 1.09 μB/f.u.
Formation energy from the elements = 327 meV/atom
Theoretical density = 4.67 g/cm³
DOS at the Fermi energy = 4.4 states/eV/f.u.

abc: 5.947 5.947 5.947
angles: 90.00 90.00 90.00
Space group F-43m (No. 216)
Unique sites:
1 Al 0.000 0.000 0.000 x4
2 Co 0.250 0.250 0.250 x4
3 P 0.000 0.000 0.500 x4
4 P 0.250 0.250 0.750 x4

***

# 6
A plane-wave DFT calculation with GGA-PBE was carried out for a relaxed AlCoP2 crystal.

Final energy = -5.34 eV per atom
Total magnetization = 0.00 μB/f.u.
Formation energy from the elements = 81 meV/atom
Theoretical density = 4.70 g/cm³
DOS at the Fermi energy = 2.3 states/eV/f.u.

abc: 4.993 6.494 3.224
angles: 90.00 90.00 90.00
Space group Cmmm (No. 65)
Unique sites:
1 Al 0.000 0.000 0.000 x2
2 Co 0.000 0.500 0.000 x2
3 P 0.250 0.250 0.500 x4